Density functional theory data (PBE) for a relaxed structure of HfZrNb2.

Output
crystal system	orthorhombic
density of states at the Fermi level	1.5038	states/eV per atom
mass density	9.28	g/cm³
ΔH_f (0 K)	0.07	eV/atom
SG	Cmm2 (35)
size of the total moment	0.00	μB per formula unit
uncorrected energy	-0.352	hartree per atom

Lattice parameters (Å, degrees): 3.342 5.021 9.710 90.00 90.00 90.00
Fractional coordinates of all 8 atoms:
Hf 0.000 0.000 0.000
Hf 0.500 0.500 0.000
Zr 0.000 0.500 0.283
Zr 0.500 0.000 0.283
Nb 0.000 0.000 0.532
Nb 0.000 0.500 0.754
Nb 0.500 0.000 0.754
Nb 0.500 0.500 0.532